Below is LiPrPN2 after structural relaxation, with properties calculated at the PBE-GGA level.

a b c (Å): 4.013 5.600 6.280
angles (deg): 102.84 90.00 90.00
Atoms (fractional coordinates):
Li 0.487 0.000 0.250
Li 0.513 0.000 0.750
Pr 0.251 0.500 0.750
Pr 0.749 0.500 0.250
P 0.000 0.000 0.000
P 0.000 0.000 0.500
N 0.733 0.752 0.956
N 0.733 0.248 0.544
N 0.267 0.752 0.456
N 0.267 0.248 0.044

Calculated values
Symmetry = P2/c (13)

Below is LiPr2PN after structural relaxation, with properties calculated at the PBE-GGA level.

a b c (Å): 3.880 6.662 7.968
angles (deg): 106.91 90.00 90.00
Atoms (fractional coordinates):
Li 0.250 0.533 0.739
Li 0.750 0.467 0.261
Pr 0.750 0.825 0.613
Pr 0.750 0.791 0.040
Pr 0.250 0.175 0.387
Pr 0.250 0.209 0.960
P 0.250 0.694 0.302
P 0.750 0.306 0.698
N 0.250 0.837 0.826
N 0.750 0.163 0.174

Calculated values
Symmetry = P2_1/m (11)

Number 1: magnetization 0.000 μB per atom, formation energy without anion corrections -43 kJ/mol of atoms, calculated total energy -61.98 eV for the cell shown. Number 2: magnetization 0.000 μB per atom, formation energy without anion corrections -106 kJ/mol of atoms, calculated total energy -61.37 eV for the cell shown.